# 1
A plane-wave DFT calculation with PBE was carried out for a geometry-optimized TbCeDy3Er structure.

Unit cell a=7.8992 b=7.8992 c=9.9926 alpha=90.00 beta=90.00 gamma=142.99
Fractional coordinates of all 12 atoms:
1 Tb 0.0000 0.0000 0.0000
2 Tb 0.0000 0.0000 0.5000
3 Ce 0.5002 0.4998 0.2500
4 Ce 0.4998 0.5002 0.7500
5 Dy 0.1670 0.8330 0.7500
6 Dy 0.3353 0.6647 0.0002
7 Dy 0.3353 0.6647 0.4998
8 Dy 0.6647 0.3353 0.9998
9 Dy 0.6647 0.3353 0.5002
10 Dy 0.8330 0.1670 0.2500
11 Er 0.1667 0.8333 0.2500
12 Er 0.8333 0.1667 0.7500

Calculated values
The formation energy is 54 meV/atom.

# 2
A plane-wave DFT calculation with PBE was carried out for a geometry-optimized TbCeDyEr structure.

Unit cell a=5.6406 b=5.6406 c=5.6406 alpha=60.00 beta=60.00 gamma=60.00
Fractional coordinates of all 4 atoms:
1 Tb 0.0000 0.0000 0.0000
2 Ce 0.5000 0.5000 0.5000
3 Dy 0.2500 0.2500 0.2500
4 Er 0.7500 0.7500 0.7500

Calculated values
The formation energy is 169 meV/atom.

# 3
A plane-wave DFT calculation with PBE was carried out for a geometry-optimized Tb3CeDy6Er2 structure.

Unit cell a=6.1312 b=6.1312 c=11.7429 alpha=94.99 beta=94.99 gamma=119.98
Fractional coordinates of all 12 atoms:
1 Tb 0.0000 0.0000 0.0000
2 Tb 0.3325 0.6675 0.0000
3 Tb 0.6675 0.3325 0.0000
4 Ce 0.5000 0.5000 0.5000
5 Dy 0.0852 0.4166 0.2512
6 Dy 0.2518 0.2518 0.7490
7 Dy 0.4166 0.0852 0.2512
8 Dy 0.5834 0.9148 0.7488
9 Dy 0.7482 0.7482 0.2510
10 Dy 0.9148 0.5834 0.7488
11 Er 0.1666 0.8334 0.5000
12 Er 0.8334 0.1666 0.5000

Calculated values
The formation energy is 34 meV/atom.

# 4
A plane-wave DFT calculation with PBE was carried out for a geometry-optimized Tb6CeDy2Er3 structure.

Unit cell a=6.1361 b=6.1361 c=11.7426 alpha=95.00 beta=95.00 gamma=119.98
Fractional coordinates of all 12 atoms:
1 Tb 0.0837 0.4150 0.7509
2 Tb 0.2478 0.2478 0.2488
3 Tb 0.4150 0.0837 0.7509
4 Tb 0.5850 0.9163 0.2491
5 Tb 0.7522 0.7522 0.7512
6 Tb 0.9163 0.5850 0.2491
7 Ce 0.0000 0.0000 0.5000
8 Dy 0.3335 0.6665 0.5000
9 Dy 0.6665 0.3335 0.5000
10 Er 0.1673 0.8327 0.0000
11 Er 0.5000 0.5000 0.0000
12 Er 0.8327 0.1673 0.0000

Calculated values
The formation energy is 36 meV/atom.

# 5
A plane-wave DFT calculation with PBE was carried out for a geometry-optimized Tb4CeDy2Er structure.

Unit cell a=6.1310 b=3.5408 c=11.7551 alpha=90.00 beta=100.02 gamma=90.00
Fractional coordinates of all 8 atoms:
1 Tb 0.2467 0.0000 0.2492
2 Tb 0.2475 0.5000 0.7499
3 Tb 0.7533 0.0000 0.7508
4 Tb 0.7525 0.5000 0.2501
5 Ce 0.0000 0.5000 0.0000
6 Dy 0.5000 0.0000 0.0000
7 Dy 0.5000 0.5000 0.5000
8 Er 0.0000 0.0000 0.5000

Calculated values
The formation energy is 41 meV/atom.

# 6
A plane-wave DFT calculation with PBE was carried out for a geometry-optimized TbCeDy5Er2 structure.

Unit cell a=11.0738 b=11.0738 c=9.5285 alpha=90.00 beta=90.00 gamma=150.32
Fractional coordinates of all 18 atoms:
1 Tb 0.0969 0.9031 0.5000
2 Tb 0.9031 0.0969 0.0000
3 Ce 0.3086 0.6914 0.0952
4 Ce 0.6914 0.3086 0.5952
5 Dy 0.0292 0.9708 0.8210
6 Dy 0.1059 0.8941 0.1173
7 Dy 0.1944 0.8056 0.7870
8 Dy 0.2327 0.7673 0.4050
9 Dy 0.4865 0.5135 0.0865
10 Dy 0.5135 0.4865 0.5865
11 Dy 0.7673 0.2327 0.9050
12 Dy 0.8056 0.1944 0.2870
13 Dy 0.8941 0.1059 0.6173
14 Dy 0.9708 0.0292 0.3210
15 Er 0.3666 0.6334 0.7812
16 Er 0.3864 0.6136 0.3965
17 Er 0.6136 0.3864 0.8965
18 Er 0.6334 0.3666 0.2812

Calculated values
The formation energy is 173 meV/atom.

# 7
A plane-wave DFT calculation with PBE was carried out for a geometry-optimized Tb2CeDyEr5 structure.

Unit cell a=11.0536 b=11.0536 c=9.4947 alpha=90.00 beta=90.00 gamma=150.38
Fractional coordinates of all 18 atoms:
1 Tb 0.1135 0.8865 0.5000
2 Tb 0.1346 0.8654 0.8848
3 Tb 0.8654 0.1346 0.3848
4 Tb 0.8865 0.1135 0.0000
5 Ce 0.1919 0.8081 0.1979
6 Ce 0.8081 0.1919 0.6979
7 Dy 0.4032 0.5968 0.6057
8 Dy 0.5968 0.4032 0.1057
9 Er 0.0137 0.9863 0.1912
10 Er 0.2667 0.7333 0.5118
11 Er 0.3069 0.6931 0.8930
12 Er 0.3946 0.6054 0.2218
13 Er 0.4713 0.5287 0.9243
14 Er 0.5287 0.4713 0.4243
15 Er 0.6054 0.3946 0.7218
16 Er 0.6931 0.3069 0.3930
17 Er 0.7333 0.2667 0.0118
18 Er 0.9863 0.0137 0.6912

Calculated values
The formation energy is 171 meV/atom.

# 8
A plane-wave DFT calculation with PBE was carried out for a geometry-optimized Ce3DyEr3Te8 structure.

Unit cell a=8.8304 b=8.8304 c=8.8304 alpha=59.34 beta=59.34 gamma=59.34
Fractional coordinates of all 15 atoms:
1 Ce 0.0000 0.5000 0.5000
2 Ce 0.5000 0.0000 0.5000
3 Ce 0.5000 0.5000 0.0000
4 Dy 0.5000 0.5000 0.5000
5 Er 0.0000 0.0000 0.5000
6 Er 0.0000 0.5000 0.0000
7 Er 0.5000 0.0000 0.0000
8 Te 0.2378 0.7526 0.7526
9 Te 0.2454 0.2454 0.2454
10 Te 0.2474 0.2474 0.7622
11 Te 0.2474 0.7622 0.2474
12 Te 0.7526 0.2378 0.7526
13 Te 0.7526 0.7526 0.2378
14 Te 0.7546 0.7546 0.7546
15 Te 0.7622 0.2474 0.2474

Calculated values
The raw formation energy is -1361 meV per atom.

# 9
A plane-wave DFT calculation with PBE was carried out for a geometry-optimized Ce2DyErTe5 structure.

Unit cell a=5.4860 b=5.4860 c=11.5403 alpha=90.00 beta=90.00 gamma=90.00
Fractional coordinates of all 9 atoms:
1 Ce 0.0000 0.0000 0.1823
2 Ce 0.0000 0.0000 0.8177
3 Dy 0.5000 0.5000 0.5000
4 Er 0.5000 0.5000 0.0000
5 Te 0.0000 0.0000 0.5000
6 Te 0.0000 0.5000 0.0000
7 Te 0.5000 0.0000 0.0000
8 Te 0.5000 0.5000 0.2546
9 Te 0.5000 0.5000 0.7454

Calculated values
The raw formation energy is -828 meV per atom.

# 10
A plane-wave DFT calculation with PBE was carried out for a geometry-optimized Ce2Dy3ErTe6 structure.

Unit cell a=9.8432 b=9.8432 c=8.8606 alpha=103.60 beta=103.60 gamma=25.59
Fractional coordinates of all 12 atoms:
1 Ce 0.1680 0.1680 0.3369
2 Ce 0.8320 0.8320 0.6631
3 Dy 0.1696 0.1696 0.8346
4 Dy 0.5000 0.5000 0.5000
5 Dy 0.8304 0.8304 0.1654
6 Er 0.5000 0.5000 0.0000
7 Te 0.0033 0.0033 0.7542
8 Te 0.3356 0.3356 0.9244
9 Te 0.3366 0.3366 0.4094
10 Te 0.6634 0.6634 0.5906
11 Te 0.6644 0.6644 0.0756
12 Te 0.9967 0.9967 0.2458

Calculated values
The raw formation energy is -1305 meV per atom.

# 11
A plane-wave DFT calculation with PBE was carried out for a geometry-optimized Ce4DyEr3Te8 structure.

Unit cell a=8.9172 b=8.9172 c=8.9172 alpha=58.58 beta=58.58 gamma=58.58
Fractional coordinates of all 16 atoms:
1 Ce 0.0000 0.0000 0.0000
2 Ce 0.0000 0.5000 0.5000
3 Ce 0.5000 0.0000 0.5000
4 Ce 0.5000 0.5000 0.0000
5 Dy 0.5000 0.5000 0.5000
6 Er 0.0000 0.0000 0.5000
7 Er 0.0000 0.5000 0.0000
8 Er 0.5000 0.0000 0.0000
9 Te 0.2440 0.7462 0.7462
10 Te 0.2451 0.2451 0.2451
11 Te 0.2538 0.2538 0.7560
12 Te 0.2538 0.7560 0.2538
13 Te 0.7462 0.2440 0.7462
14 Te 0.7462 0.7462 0.2440
15 Te 0.7549 0.7549 0.7549
16 Te 0.7560 0.2538 0.2538

Calculated values
The raw formation energy is -1313 meV per atom.

# 12
A plane-wave DFT calculation with PBE was carried out for a geometry-optimized Ce2DyEr3Te6 structure.

Unit cell a=9.8387 b=9.8387 c=8.8595 alpha=104.18 beta=104.18 gamma=25.47
Fractional coordinates of all 12 atoms:
1 Ce 0.1677 0.1677 0.3358
2 Ce 0.8323 0.8323 0.6642
3 Dy 0.5000 0.5000 0.0000
4 Er 0.1686 0.1686 0.8339
5 Er 0.5000 0.5000 0.5000
6 Er 0.8314 0.8314 0.1661
7 Te 0.0037 0.0037 0.7500
8 Te 0.3338 0.3338 0.9261
9 Te 0.3371 0.3371 0.4084
10 Te 0.6629 0.6629 0.5916
11 Te 0.6662 0.6662 0.0739
12 Te 0.9963 0.9963 0.2500

Calculated values
The raw formation energy is -1285 meV per atom.